*P*
DFT (GGA-PBE) results for an optimized crystal structure of Be3SnB.

Unit cell a=4.5425 b=4.5425 c=4.5425 alpha=90.00 beta=90.00 gamma=90.00
Last column: nearest neighbours and their distance in Å.
Fractional positions:
Be: 0.0000 0.0000 0.5000  2 Sn 2.27
Be: 0.0000 0.5000 0.0000  2 Sn 2.27
Be: 0.5000 0.0000 0.0000  2 Sn 2.27
Sn: 0.0000 0.0000 0.0000  6 Be 2.27
B: 0.5000 0.5000 0.5000  12 Be 3.21

Its crystal system is cubic. The space group is Pm-3m (221). The density of states at the Fermi level is 3.0 states/eV/f.u.

*Q*
DFT (GGA-PBE) results for an optimized crystal structure of Be3SnB.

Unit cell a=3.9083 b=3.9083 c=3.9083 alpha=90.00 beta=90.00 gamma=90.00
Last column: nearest neighbours and their distance in Å.
Fractional positions:
Be: 0.0000 0.0000 0.5000  2 B 1.95
Be: 0.0000 0.5000 0.0000  2 B 1.95
Be: 0.5000 0.0000 0.0000  2 B 1.95
Sn: 0.5000 0.5000 0.5000  12 Be 2.76
B: 0.0000 0.0000 0.0000  6 Be 1.95

Its crystal system is cubic. The space group is Pm-3m (221). The density of states at the Fermi level is 1.8 states/eV/f.u.

What should be chosen as the least stable of them? Choose *P*.

*P*
DFT (GGA-PBE) results for an optimized crystal structure of BeSn2B2.

Unit cell a=8.6993 b=8.6993 c=8.6993 alpha=160.44 beta=160.44 gamma=27.80
Last column: nearest neighbours and their distance in Å.
Fractional positions:
Be: 0.0000 0.0000 0.0000  8 Sn 2.83, 4 Be 2.96
Sn: 0.3866 0.3866 0.0000  4 B 2.74, 4 Be 2.83, 4 Sn 2.96
Sn: 0.6134 0.6134 0.0000  4 B 2.74, 4 Be 2.83, 4 Sn 2.96
B: 0.2500 0.7500 0.5000  4 B 2.09
B: 0.7500 0.2500 0.5000  4 B 2.09

Its crystal system is tetragonal. The space group is I4/mmm (139). The density of states at the Fermi level is 1.2 states/eV/f.u.

*Q*
DFT (GGA-PBE) results for an optimized crystal structure of BeSn2B2.

Unit cell a=7.0810 b=7.0810 c=3.8462 alpha=90.00 beta=90.00 gamma=90.00
Last column: nearest neighbours and their distance in Å.
Fractional positions:
Be: 0.0000 0.0000 0.0000  4 Sn 2.54
Be: 0.5000 0.5000 0.0000  4 Sn 2.54
Sn: 0.2056 0.2944 0.0000  2 B 2.31, 2 Be 2.54
Sn: 0.2944 0.7944 0.0000  2 B 2.31, 2 Be 2.54
Sn: 0.7056 0.2056 0.0000  2 B 2.31, 2 Be 2.54
Sn: 0.7944 0.7056 0.0000  2 B 2.31, 2 Be 2.54
B: 0.0784 0.4216 0.5000  1 B 1.57
B: 0.4216 0.9216 0.5000  1 B 1.57
B: 0.5784 0.0784 0.5000  1 B 1.57
B: 0.9216 0.5784 0.5000  1 B 1.57

Its crystal system is tetragonal. The space group is P4/mbm (127). The density of states at the Fermi level is 2.7 states/eV/f.u.

What should be chosen as the least stable of them? Choose *P*.

*P*
DFT (GGA-PBE) results for an optimized crystal structure of BeSn2B.

Unit cell a=4.6209 b=4.6209 c=4.6209 alpha=60.00 beta=60.00 gamma=60.00
Last column: nearest neighbours and their distance in Å.
Fractional positions:
Be: 0.0000 0.0000 0.0000  8 Sn 2.83
Sn: 0.2500 0.2500 0.2500  4 Be 2.83, 4 B 2.83
Sn: 0.7500 0.7500 0.7500  4 Be 2.83, 4 B 2.83
B: 0.5000 0.5000 0.5000  8 Sn 2.83

Its crystal system is cubic. The space group is Fm-3m (225). The density of states at the Fermi level is 1.7 states/eV/f.u.

*Q*
DFT (GGA-PBE) results for an optimized crystal structure of BeSn2B.

Unit cell a=6.4247 b=6.4247 c=6.4247 alpha=126.42 beta=126.42 gamma=79.20
Last column: nearest neighbours and their distance in Å.
Fractional positions:
Be: 0.0000 0.0000 0.0000  4 Sn 2.52
Be: 0.7500 0.2500 0.5000  4 Sn 2.52
Sn: 0.1598 0.6250 0.0348  2 B 2.28, 2 Be 2.52
Sn: 0.3750 0.4098 0.5348  2 B 2.28, 2 Be 2.52
Sn: 0.5902 0.1250 0.9652  2 B 2.28, 2 Be 2.52
Sn: 0.8750 0.8402 0.4652  2 B 2.28, 2 Be 2.52
B: 0.2500 0.7500 0.5000  4 Sn 2.28
B: 0.5000 0.5000 0.0000  4 Sn 2.28

Its crystal system is tetragonal. The space group is I-42d (122). The density of states at the Fermi level is 2.4 states/eV/f.u.

What should be chosen as the least stable of them? Choose *P*.

*P*
DFT (GGA-PBE) results for an optimized crystal structure of SrBeB.

Unit cell a=5.3050 b=5.3050 c=5.7675 alpha=116.35 beta=116.35 gamma=48.64
Last column: nearest neighbours and their distance in Å.
Fractional positions:
Sr: 0.0951 0.0951 0.3296  4 B 2.86-2.88, 4 Be 3.12-3.13
Sr: 0.9049 0.9049 0.6704  4 B 2.86-2.88, 4 Be 3.12-3.13
Be: 0.0000 0.5000 0.0000  2 B 1.91
Be: 0.5000 0.0000 0.0000  2 B 1.91
B: 0.4112 0.4112 0.9953  1 B 1.69
B: 0.5888 0.5888 0.0047  1 B 1.69

Its crystal system is monoclinic. The space group is C2/m (12). The density of states at the Fermi level is 0.8 states/eV/f.u.

*Q*
DFT (GGA-PBE) results for an optimized crystal structure of SrBeB.

Unit cell a=3.7667 b=3.7671 c=8.7338 alpha=91.98 beta=91.77 gamma=112.37
Last column: nearest neighbours and their distance in Å.
Fractional positions:
Sr: 0.2196 0.2222 0.2856  3 B 2.86-3.03, 2 Be 2.97
Sr: 0.7804 0.7778 0.7144  3 B 2.86-3.03, 2 Be 2.97
Be: 0.2281 0.7720 0.0001  4 B 1.91-2.04, 2 Be 2.11
Be: 0.7719 0.2280 0.9999  4 B 1.91-2.04, 2 Be 2.11
B: 0.3196 0.3193 0.9442  1 B 1.75, 2 Be 1.91
B: 0.6804 0.6807 0.0558  1 B 1.75, 2 Be 1.91

Its crystal system is triclinic. The space group is P-1 (2). The density of states at the Fermi level is 1.1 states/eV/f.u.

*R*
DFT (GGA-PBE) results for an optimized crystal structure of SrBeB.

Unit cell a=3.8207 b=3.8207 c=9.4129 alpha=95.46 beta=95.46 gamma=52.89
Last column: nearest neighbours and their distance in Å.
Fractional positions:
Sr: 0.1747 0.1747 0.2088  3 B 2.84-3.14, 2 Be 3.01
Sr: 0.8253 0.8253 0.7912  3 B 2.84-3.14, 2 Be 3.01
Be: 0.1452 0.1452 0.5473  5 B 2.02-2.23, 1 Be 2.09
Be: 0.8548 0.8548 0.4527  5 B 2.02-2.23, 1 Be 2.09
B: 0.4426 0.4426 0.5743  1 B 1.68
B: 0.5574 0.5574 0.4257  1 B 1.68

Its crystal system is monoclinic. The space group is C2/m (12). The density of states at the Fermi level is 1.4 states/eV/f.u.

*S*
DFT (GGA-PBE) results for an optimized crystal structure of SrBeB.

Unit cell a=5.8313 b=5.8313 c=5.8313 alpha=135.20 beta=129.93 gamma=69.43
Last column: nearest neighbours and their distance in Å.
Fractional positions:
Sr: 0.1804 0.1804 0.0000  4 B 2.93, 6 Be 3.24
Sr: 0.8196 0.8196 0.0000  4 B 2.93, 6 Be 3.24
Be: 0.5000 0.2661 0.7661  2 B 1.96, 1 Be 2.08
Be: 0.5000 0.7339 0.2339  2 B 1.96, 1 Be 2.08
B: 0.1625 0.5000 0.6625  1 B 1.60
B: 0.8375 0.5000 0.3375  1 B 1.60

Its crystal system is orthorhombic. The space group is Immm (71). The density of states at the Fermi level is 1.2 states/eV/f.u.

What should be chosen as the least stable of them? Choose *P*.